Record 1
A plane-wave DFT calculation with PBE was carried out for a geometry-optimized CrAs2Ir structure.

It has space group P4mm (No. 99), with a = 2.857 Å, b = 2.857 Å, c = 8.287 Å, α = 90.00°, β = 90.00° and γ = 90.00°. The distinct sites, in fractional coordinates, are Cr at (0.000, 0.000, 0.000), As at (0.000, 0.000, 0.420), As at (0.500, 0.500, 0.802) and Ir at (0.500, 0.500, 0.220).

The formation enthalpy at 0 K comes out at 1.6 kJ per mole of atoms.

Record 2
A plane-wave DFT calculation with PBE was carried out for a geometry-optimized KBiPd3 structure.

It has space group Imma (No. 74), with a = 5.708 Å, b = 9.865 Å, c = 9.092 Å, α = 90.00°, β = 90.00° and γ = 90.00°. The distinct sites, in fractional coordinates, are K at (0.000, 0.250, 0.058), Bi at (0.000, 0.000, 0.500), Pd at (0.000, 0.250, 0.643) and Pd at (0.250, 0.036, 0.750).

The formation enthalpy at 0 K comes out at -14.0 kJ per mole of atoms.

Number 1: energy above the lowest structure with this stoichiometry 0.23 eV per formula unit, DOS at the Fermi energy 2.9 states/eV/cell. Number 2: energy above the lowest structure with this stoichiometry 0.00 eV per formula unit, DOS at the Fermi energy 12.2 states/eV/cell.